# 1
A plane-wave DFT calculation with GGA-PBEsol was carried out for a relaxed BaCu2Ag crystal.

**Formation energy from the elements**: -0.01 eV per atom
**Crystal system**: trigonal

Lattice parameters (Å, degrees): 4.4124 4.4124 5.9485 68.23 68.23 60.00
Positions (direct):
1 Cu 0.1895 0.1895 0.4315
2 Cu 0.8105 0.8105 0.5685
3 Ba 0.0000 0.0000 0.0000
4 Ag 0.5000 0.5000 0.5000


# 2
A plane-wave DFT calculation with GGA-PBEsol was carried out for a relaxed InTcPb2 crystal.

**Formation energy from the elements**: 0.70 eV per atom
**Crystal system**: tetragonal

Lattice parameters (Å, degrees): 4.4188 4.4188 5.5692 113.37 113.37 90.00
Last column: magnetic moment on the atom in μB.
Positions (direct):
1 Pb 0.0000 0.0000 0.0000  0.02
2 Pb 0.7500 0.2500 0.5000  0.01
3 In 0.2500 0.7500 0.5000  0.00
4 Tc 0.5000 0.5000 0.0000  1.72


# 3
A plane-wave DFT calculation with GGA-PBEsol was carried out for a relaxed V4HgO10 crystal.

**Crystal system**: monoclinic
**Energy relative to the elements, uncorrected**: -2118 meV/atom

Lattice parameters (Å, degrees): 3.6090 9.6003 11.3238 91.63 99.17 90.00
Last column: magnetic moment on the atom in μB.
Positions (direct):
1 O 0.2192 0.0909 0.4383  -0.04
2 O 0.7104 0.5404 0.4209  -0.01
3 O 0.5427 0.8427 0.0855  0.00
4 O 0.7808 0.9091 0.5617  -0.04
5 O 0.8813 0.4254 0.7626  -0.03
6 O 0.1804 0.3354 0.3609  -0.04
7 O 0.2305 0.7177 0.4609  -0.01
8 O 0.7695 0.2823 0.5391  -0.01
9 O 0.1187 0.5746 0.2374  -0.03
10 O 0.4573 0.1573 0.9145  0.00
11 O 0.3729 0.8543 0.7459  -0.01
12 O 0.8992 0.0017 0.7983  0.00
13 O 0.2896 0.4596 0.5791  -0.01
14 O 0.1008 0.9983 0.2017  0.00
15 O 0.6626 0.8357 0.3252  -0.01
16 O 0.0609 0.2848 0.1219  -0.02
17 O 0.6271 0.1457 0.2541  -0.01
18 O 0.9391 0.7152 0.8781  -0.02
19 O 0.8196 0.6646 0.6391  -0.04
20 O 0.3374 0.1643 0.6748  -0.01
21 V 0.8124 0.4665 0.6247  0.32
22 V 0.3949 0.0584 0.7898  0.09
23 V 0.6051 0.9416 0.2102  0.09
24 V 0.7421 0.7660 0.4842  0.38
25 V 0.2579 0.2340 0.5158  0.38
26 V 0.8786 0.8026 0.7572  0.29
27 V 0.1214 0.1974 0.2428  0.29
28 V 0.1876 0.5335 0.3753  0.32
29 Hg 0.4835 0.3722 0.9670  0.00
30 Hg 0.5165 0.6278 0.0330  0.00


# 4
A plane-wave DFT calculation with GGA-PBEsol was carried out for a relaxed BaReSb2 crystal.

**Crystal system**: orthorhombic
**Energy relative to the elements, uncorrected**: 190 meV/atom
**Excess energy over the best structure of this formula in the dataset**: 0.0000 eV/atom

Lattice parameters (Å, degrees): 4.3479 4.8751 6.6203 90.00 109.17 90.00
Positions (direct):
1 Sb 0.2503 0.0000 0.5005
2 Sb 0.5851 0.5000 0.1703
3 Ba 0.9662 0.0000 0.9324
4 Re 0.1968 0.5000 0.3935


# 5
A plane-wave DFT calculation with GGA-PBEsol was carried out for a relaxed Ba2SrCa crystal.

**Formation energy from the elements**: 0.02 eV per atom
**Crystal system**: orthorhombic
**Excess energy over the best structure of this formula in the dataset**: 0.0003 eV/atom

Lattice parameters (Å, degrees): 4.7644 6.5559 6.5648 90.00 90.00 90.00
Positions (direct):
1 Ca 0.5000 0.0000 0.5000
2 Ba 0.0000 0.0000 0.0000
3 Ba 0.5000 0.5000 0.0000
4 Sr 0.0000 0.5000 0.5000


# 6
A plane-wave DFT calculation with GGA-PBEsol was carried out for a relaxed NaLiNiPO4F crystal.

**Crystal system**: monoclinic
**Energy relative to the elements, uncorrected**: -2053 meV/atom

Lattice parameters (Å, degrees): 5.0071 6.7354 11.1464 90.00 90.00 90.55
Last column: magnetic moment on the atom in μB.
Positions (direct):
1 O 0.3625 0.0967 0.6711  0.01
2 O 0.3572 0.2156 0.4572  0.05
3 O 0.2349 0.5438 0.1247  0.01
4 O 0.0804 0.8066 0.4259  0.10
5 O 0.5803 0.8066 0.0741  0.10
6 O 0.8625 0.0967 0.8289  0.01
7 O 0.2651 0.4563 0.6247  0.01
8 O 0.8572 0.2156 0.0428  0.05
9 O 0.9196 0.1934 0.5741  0.10
10 O 0.6375 0.9033 0.3289  0.01
11 O 0.7651 0.4562 0.8753  0.01
12 O 0.7349 0.5437 0.3753  0.01
13 O 0.1375 0.9033 0.1711  0.01
14 O 0.1428 0.7844 0.9572  0.05
15 O 0.6428 0.7844 0.5428  0.05
16 O 0.4197 0.1934 0.9259  0.10
17 Ni 0.2322 0.9794 0.8267  0.00
18 Ni 0.2678 0.0206 0.3267  0.00
19 Ni 0.7678 0.0206 0.1733  0.00
20 Ni 0.7322 0.9794 0.6733  0.00
21 F 0.5334 0.7867 0.7869  0.00
22 F 0.0334 0.7867 0.7131  0.00
23 F 0.4666 0.2133 0.2131  0.00
24 F 0.9666 0.2133 0.2869  0.00
25 Na 0.2509 0.4914 0.3352  1.62
26 Na 0.7509 0.4914 0.1648  1.62
27 Na 0.2491 0.5086 0.8352  1.62
28 Na 0.7491 0.5086 0.6648  1.62
29 Li 0.7669 0.7450 0.9181  0.06
30 Li 0.2669 0.7450 0.5819  0.06
31 Li 0.2331 0.2550 0.0819  0.06
32 Li 0.7331 0.2550 0.4181  0.06
33 P 0.7245 0.2414 0.9183  0.10
34 P 0.7754 0.7586 0.4183  0.10
35 P 0.2246 0.2414 0.5817  0.10
36 P 0.2755 0.7586 0.0817  0.10


# 7
A plane-wave DFT calculation with GGA-PBEsol was carried out for a relaxed CaLa2Au2 crystal.

**Formation energy from the elements**: -0.66 eV per atom
**Crystal system**: tetragonal

Lattice parameters (Å, degrees): 3.9495 8.3498 8.3498 90.00 90.00 90.00
Positions (direct):
1 Ca 0.0000 0.5000 0.5000
2 Ca 0.0000 0.0000 0.0000
3 Au 0.0000 0.3671 0.8671
4 Au 0.0000 0.8671 0.6329
5 Au 0.0000 0.1329 0.3671
6 Au 0.0000 0.6329 0.1329
7 La 0.5000 0.1617 0.6617
8 La 0.5000 0.6617 0.8383
9 La 0.5000 0.8383 0.3383
10 La 0.5000 0.3383 0.1617


# 8
A plane-wave DFT calculation with GGA-PBEsol was carried out for a relaxed As2RuCl crystal.

**Crystal system**: trigonal
**Energy relative to the elements, uncorrected**: -73 meV/atom
**Excess energy over the best structure of this formula in the dataset**: 0.0000 eV/atom

Lattice parameters (Å, degrees): 3.2367 3.2367 7.8810 78.15 78.15 60.00
Positions (direct):
1 As 0.7396 0.7396 0.7811
2 As 0.2604 0.2604 0.2189
3 Cl 0.5000 0.5000 0.5000
4 Ru 0.0000 0.0000 0.0000


# 9
A plane-wave DFT calculation with GGA-PBEsol was carried out for a relaxed Sc3BeN crystal.

**Crystal system**: cubic
**Energy relative to the elements, uncorrected**: -844 meV/atom

Lattice parameters (Å, degrees): 4.3230 4.3230 4.3230 90.00 90.00 90.00
Positions (direct):
1 Be 0.5000 0.5000 0.5000
2 Sc 0.0000 0.0000 0.5000
3 Sc 0.0000 0.5000 0.0000
4 Sc 0.5000 0.0000 0.0000
5 N 0.0000 0.0000 0.0000


# 10
A plane-wave DFT calculation with GGA-PBEsol was carried out for a relaxed NbFe3P6O24 crystal.

**Crystal system**: trigonal
**Energy relative to the elements, uncorrected**: -1871 meV/atom

Lattice parameters (Å, degrees): 8.1380 8.1380 8.6095 61.80 61.80 60.00
Last column: magnetic moment on the atom in μB.
Positions (direct):
1 O 0.3642 0.9892 0.4322  0.06
2 O 0.8191 0.4840 0.1998  0.05
3 O 0.1230 0.7272 0.2601  0.00
4 O 0.1832 0.5381 0.8003  0.06
5 O 0.2145 0.3642 0.4322  0.06
6 O 0.9000 0.2496 0.7402  0.03
7 O 0.4813 0.8228 0.9072  0.05
8 O 0.4840 0.4970 0.1998  0.05
9 O 0.2248 0.5123 0.0903  0.05
10 O 0.8228 0.7887 0.9072  0.05
11 O 0.8003 0.6180 0.5739  0.01
12 O 0.4785 0.1832 0.8003  0.06
13 O 0.7272 0.8897 0.2601  0.00
14 O 0.7887 0.4813 0.9072  0.05
15 O 0.1727 0.2248 0.0903  0.05
16 O 0.9892 0.2145 0.4322  0.06
17 O 0.6180 0.0079 0.5739  0.01
18 O 0.5123 0.1727 0.0903  0.05
19 O 0.1102 0.9000 0.7402  0.03
20 O 0.0079 0.8003 0.5739  0.01
21 O 0.2496 0.1102 0.7402  0.03
22 O 0.5381 0.4785 0.8003  0.06
23 O 0.8897 0.1230 0.2601  0.00
24 O 0.4970 0.8191 0.1998  0.05
25 Fe 0.1414 0.1414 0.5759  1.84
26 Fe 0.3516 0.3516 0.9452  1.85
27 Fe 0.6501 0.6501 0.0497  1.99
28 P 0.4558 0.0330 0.7590  0.00
29 P 0.7522 0.4558 0.7590  0.00
30 P 0.9687 0.2704 0.2431  0.00
31 P 0.5178 0.9687 0.2431  0.00
32 P 0.2704 0.5178 0.2431  0.00
33 P 0.0330 0.7522 0.7590  0.00
34 Nb 0.8629 0.8629 0.4114  0.01


| no. | mass density (g cm⁻³) |
| --- | --- |
| 1 | 6.82 |
| 2 | 11.57 |
| 3 | 4.84 |
| 4 | 7.10 |
| 5 | 3.26 |
| 6 | 3.58 |
| 7 | 8.59 |
| 8 | 6.85 |
| 9 | 3.25 |
| 10 | 3.33 |